A plane-wave DFT calculation with PBE was carried out for crystalline Zn2SbI at its relaxed geometry.

Lattice parameters (Å, degrees): 7.310 7.310 7.310 90.00 90.00 90.00
Space group Fm-3m (No. 225)
Asymmetric unit:
Zn 0.250 0.250 0.250
Sb 0.000 0.000 0.000
I 0.000 0.000 0.500

The uncorrected formation energy is 366 meV/atom. The energy above the most stable polymorph in this dataset comes out at 577 meV/atom. Its crystal system is cubic. As for the density of states at the Fermi level: 2.41 states/eV/f.u. The calculation puts the total energy at -0.1242 Ry per atom.



A plane-wave DFT calculation with PBE was carried out for crystalline Zn2SbI8 at its relaxed geometry.

Lattice parameters (Å, degrees): 11.870 12.827 7.080 90.00 92.27 90.00
Space group C2/m (No. 12)
Asymmetric unit:
Zn 0.214 0.000 0.415
Sb 0.000 0.000 0.000
I 0.076 0.500 0.697
I 0.109 0.164 0.260
I 0.223 0.000 0.787

The uncorrected formation energy is -380 meV/atom. Its crystal system is monoclinic. As for the density of states at the Fermi level: 0.19 states/eV/f.u. The calculation puts the total energy at -0.1554 Ry per atom.



A plane-wave DFT calculation with PBE was carried out for crystalline Zn2SbI at its relaxed geometry.

Lattice parameters (Å, degrees): 4.3234 4.3234 23.0736 90.00 90.00 120.00
Space group R-3m (No. 166, hexagonal axes)
Asymmetric unit:
Zn 0.0000 0.0000 0.1147
Sb 0.0000 0.0000 0.5000
I 0.0000 0.0000 0.0000

The uncorrected formation energy is -75 meV/atom. The energy above the most stable polymorph in this dataset comes out at 136 meV/atom. Its crystal system is trigonal. As for the density of states at the Fermi level: 0.97 states/eV/f.u. The calculation puts the total energy at -0.1565 Ry per atom.



A plane-wave DFT calculation with PBE was carried out for crystalline ZrZnSbI2 at its relaxed geometry.

Lattice parameters (Å, degrees): 5.361 5.361 5.366 90.00 90.00 90.00
Space group P4/mmm (No. 123)
Asymmetric unit:
Zr 0.000 0.000 0.000
Zn 0.500 0.500 0.500
Sb 0.500 0.500 0.000
I 0.000 0.500 0.500

The uncorrected formation energy is 552 meV/atom. The energy above the most stable polymorph in this dataset comes out at 570 meV/atom. Its crystal system is tetragonal. As for the density of states at the Fermi level: 6.36 states/eV/f.u. The calculation puts the total energy at -0.2100 Ry per atom.



A plane-wave DFT calculation with PBE was carried out for crystalline ZrZnSbI2 at its relaxed geometry.

Lattice parameters (Å, degrees): 5.747 5.747 5.709 90.00 90.00 90.00
Space group P4/mmm (No. 123)
Asymmetric unit:
Zr 0.000 0.000 0.000
Zn 0.500 0.500 0.500
Sb 0.000 0.000 0.500
I 0.000 0.500 0.000

The uncorrected formation energy is -18 meV/atom. The energy above the most stable polymorph in this dataset comes out at 0 meV/atom. Its crystal system is tetragonal. As for the density of states at the Fermi level: 4.35 states/eV/f.u. The calculation puts the total energy at -0.2519 Ry per atom.



A plane-wave DFT calculation with PBE was carried out for crystalline ZrSbI3 at its relaxed geometry.

Lattice parameters (Å, degrees): 6.027 6.027 6.027 90.00 90.00 90.00
Space group Pm-3m (No. 221)
Asymmetric unit:
Zr 0.000 0.000 0.000
Sb 0.500 0.500 0.500
I 0.000 0.500 0.500

The uncorrected formation energy is 660 meV/atom. The energy above the most stable polymorph in this dataset comes out at 678 meV/atom. Its crystal system is cubic. As for the density of states at the Fermi level: 5.07 states/eV/f.u. The calculation puts the total energy at -0.2061 Ry per atom.



A plane-wave DFT calculation with PBE was carried out for crystalline Zr3SbI at its relaxed geometry.

Lattice parameters (Å, degrees): 5.409 5.409 5.409 90.00 90.00 90.00
Space group Pm-3m (No. 221)
Asymmetric unit:
Zr 0.000 0.000 0.500
Sb 0.000 0.000 0.000
I 0.500 0.500 0.500

The uncorrected formation energy is 751 meV/atom. The energy above the most stable polymorph in this dataset comes out at 0 meV/atom. Its crystal system is cubic. As for the density of states at the Fermi level: 8.09 states/eV/f.u. The calculation puts the total energy at -0.4051 Ry per atom.



A plane-wave DFT calculation with PBE was carried out for crystalline ZrSb3I at its relaxed geometry.

Lattice parameters (Å, degrees): 5.575 5.575 5.575 90.00 90.00 90.00
Space group Pm-3m (No. 221)
Asymmetric unit:
Zr 0.000 0.000 0.000
Sb 0.000 0.000 0.500
I 0.500 0.500 0.500

The uncorrected formation energy is 137 meV/atom. The energy above the most stable polymorph in this dataset comes out at 0 meV/atom. Its crystal system is cubic. As for the density of states at the Fermi level: 1.53 states/eV/f.u. The calculation puts the total energy at -0.3201 Ry per atom.



A plane-wave DFT calculation with PBE was carried out for crystalline ZrSb2I at its relaxed geometry.

Lattice parameters (Å, degrees): 4.439 4.439 23.373 90.00 90.00 90.00
Space group I-42d (No. 122)
Asymmetric unit:
Zr 0.000 0.000 0.000
Sb 0.203 0.250 0.125
I 0.000 0.000 0.500

The uncorrected formation energy is 120 meV/atom. The energy above the most stable polymorph in this dataset comes out at 0 meV/atom. Its crystal system is tetragonal. As for the density of states at the Fermi level: 2.89 states/eV/f.u. The calculation puts the total energy at -0.3282 Ry per atom.



A plane-wave DFT calculation with PBE was carried out for crystalline Zr2SbI at its relaxed geometry.

Lattice parameters (Å, degrees): 7.175 7.175 7.175 90.00 90.00 90.00
Space group Fm-3m (No. 225)
Asymmetric unit:
Zr 0.250 0.250 0.250
Sb 0.000 0.000 0.000
I 0.000 0.000 0.500

The uncorrected formation energy is -396 meV/atom. Its crystal system is cubic. As for the density of states at the Fermi level: 0.53 states/eV/f.u. The calculation puts the total energy at -0.4475 Ry per atom.



A plane-wave DFT calculation with PBE was carried out for crystalline ZrSbI3 at its relaxed geometry.

Lattice parameters (Å, degrees): 5.807 5.807 5.807 90.00 90.00 90.00
Space group Pm-3m (No. 221)
Asymmetric unit:
Zr 0.000 0.000 0.000
Sb 0.500 0.500 0.500
I 0.000 0.000 0.500

The uncorrected formation energy is -18 meV/atom. The energy above the most stable polymorph in this dataset comes out at 0 meV/atom. Its crystal system is cubic. As for the density of states at the Fermi level: 3.06 states/eV/f.u. The calculation puts the total energy at -0.2559 Ry per atom.



A plane-wave DFT calculation with PBE was carried out for crystalline Zr2Sb2I at its relaxed geometry.

Lattice parameters (Å, degrees): 8.198 8.198 3.781 90.00 90.00 90.00
Space group P4/mbm (No. 127)
Asymmetric unit:
Zr 0.146 0.354 0.000
Sb 0.141 0.641 0.500
I 0.000 0.000 0.000

The uncorrected formation energy is -551 meV/atom. Its crystal system is tetragonal. As for the density of states at the Fermi level: 2.12 states/eV/f.u. The calculation puts the total energy at -0.4358 Ry per atom.